[1]
PBE YNpPa2P4, relaxed; formation enthalpy at 0 K = -1.28 eV/atom
1.0
3.981 0.000 0.000
0.000 6.895 0.120
0.000 -2.409 6.429
Y Np Pa P
1 1 2 4
Cartesian
1.991 3.447 0.060
0.000 0.000 0.000
1.991 -1.204 3.215
0.000 2.243 3.275
1.991 1.114 1.641
1.991 3.372 4.908
0.000 -0.090 4.833
0.000 4.577 1.716


[2]
PBE CeDyTm14, relaxed; formation enthalpy at 0 K = 0.07 eV/atom
1.0
-6.099 -3.038 0.564
4.315 -3.147 4.268
-2.749 6.991 7.934
Ce Dy Tm
1 1 14
Cartesian
1.519 0.363 7.729
-4.315 0.424 5.654
3.193 -3.136 3.869
-1.482 -3.086 2.206
-1.049 1.668 5.690
1.355 -1.285 1.602
-1.784 -0.880 7.681
0.302 -4.937 4.454
-3.872 3.471 6.892
-2.495 -0.031 2.918
-4.623 0.864 8.928
-3.247 -2.638 4.954
-1.413 2.263 9.079
0.063 -1.491 4.819
-7.101 2.082 6.747
-5.815 -1.188 3.036


[3]
PBE KZrCo, relaxed; formation enthalpy at 0 K = 0.44 eV/atom; relative energy among the computed polymorphs = 0 kJ/mol of formula units
1.0
-3.945 -2.695 5.967
-1.084 -4.231 6.274
0.850 2.059 2.383
Co K Zr
1 1 1
Cartesian
0.660 1.769 2.701
-1.250 -1.151 5.904
-2.740 -3.428 8.402


[4]
PBE LaTbHoTl, relaxed; formation enthalpy at 0 K = 0.00 eV/atom; relative energy among the computed polymorphs = 25 kJ/mol of formula units
1.0
5.492 0.000 0.000
0.000 5.492 0.000
-2.746 -2.746 3.890
La Tb Ho Tl
1 1 1 1
Cartesian
2.746 0.000 1.945
0.000 0.000 0.000
2.746 2.746 0.000
0.000 2.746 1.945


[5]
PBE BaCd2AgHg, relaxed; formation enthalpy at 0 K = -0.26 eV/atom; relative energy among the computed polymorphs = 0 kJ/mol of formula units
1.0
4.794 0.000 0.000
0.000 4.748 0.000
-2.397 -2.374 6.263
Ba Cd Ag Hg
1 2 1 1
Cartesian
0.000 0.000 5.495
2.397 0.000 2.392
0.000 0.000 0.781
0.000 2.374 2.394
2.397 2.374 4.121


[6]
PBE Rh2Au2Se, relaxed; formation energy without anion corrections = 15.3 kJ/mol of atoms; relative energy among the computed polymorphs = 0 kJ/mol of formula units
1.0
6.365 0.000 0.000
0.000 6.365 0.000
0.000 0.000 4.351
Rh Au Se
4 4 2
Cartesian
2.197 5.379 0.000
5.379 4.168 0.000
4.168 0.986 0.000
0.986 2.197 0.000
0.974 4.157 2.175
4.157 5.391 2.175
5.391 2.208 2.175
2.208 0.974 2.175
0.000 0.000 0.000
3.182 3.182 0.000


What did the third record say?
PBE KZrCo, relaxed; formation enthalpy at 0 K = 0.44 eV/atom; relative energy among the computed polymorphs = 0 kJ/mol of formula units
1.0
-3.945 -2.695 5.967
-1.084 -4.231 6.274
0.850 2.059 2.383
Co K Zr
1 1 1
Cartesian
0.660 1.769 2.701
-1.250 -1.151 5.904
-2.740 -3.428 8.402


Copy entry 2 word for word.
PBE CeDyTm14, relaxed; formation enthalpy at 0 K = 0.07 eV/atom
1.0
-6.099 -3.038 0.564
4.315 -3.147 4.268
-2.749 6.991 7.934
Ce Dy Tm
1 1 14
Cartesian
1.519 0.363 7.729
-4.315 0.424 5.654
3.193 -3.136 3.869
-1.482 -3.086 2.206
-1.049 1.668 5.690
1.355 -1.285 1.602
-1.784 -0.880 7.681
0.302 -4.937 4.454
-3.872 3.471 6.892
-2.495 -0.031 2.918
-4.623 0.864 8.928
-3.247 -2.638 4.954
-1.413 2.263 9.079
0.063 -1.491 4.819
-7.101 2.082 6.747
-5.815 -1.188 3.036